Computed, not measured: a geometry-optimized V3InF9 structure at the GGA+U level of DFT.

Cell and atoms, written as CIF:
```
data_V3InF9
_cell_length_a 7.6625
_cell_length_b 7.6625
_cell_length_c 3.9726
_cell_angle_alpha 90.00
_cell_angle_beta 90.00
_cell_angle_gamma 120.00
_space_group_name_H-M_alt 'P 6/m m m'
_space_group_IT_number 191
_space_group_name_Hall '-P 6 2'
loop_
_atom_site_label
_atom_site_fract_x
_atom_site_fract_y
_atom_site_fract_z
V1 0.0000 0.5000 0.0000
In1 0.0000 0.0000 0.5000
F1 0.0000 0.5000 0.5000
F2 0.2019 0.4038 0.0000
```

Properties
- Total energy: -76.41 eV per cell
- DOS(E_F): 0.24 states/eV per atom